No. 1
Li2Mg2ZnInCu2: optimized geometry, PBE.

Calculated values
The space-group type is P-4m2, No. 115. The total energy is -0.0908 Ha/atom.

The structure in POSCAR format:
```
Li2Mg2ZnInCu2
1.0
-3.642 0.334 2.502
0.903 -3.929 1.839
3.367 2.888 4.516
Cu In Li Mg Zn
2 1 2 2 1
direct
0.000 0.500 0.265
0.500 0.000 0.735
0.000 0.000 0.000
0.500 0.000 0.269
0.000 0.500 0.731
0.500 0.500 0.000
0.000 0.000 0.500
0.500 0.500 0.500
```

No. 2
LiInCuMo: optimized geometry, PBE.

Calculated values
The space-group type is F-43m, No. 216. The total energy is -0.1604 Ha/atom. The relative energy among the computed polymorphs comes out at 109.3 meV per atom. Its total magnetic moment is 2.23 μB per cell.

The structure in POSCAR format:
```
LiInCuMo
1.0
0.000 3.183 3.183
3.183 0.000 3.183
3.183 3.183 0.000
Cu In Li Mo
1 1 1 1
direct
0.750 0.750 0.750
0.000 0.000 0.000
0.500 0.500 0.500
0.250 0.250 0.250
```

No. 3
LiInCuMo: optimized geometry, PBE.

Calculated values
The space-group type is F-43m, No. 216. The total energy is -0.1644 Ha/atom. The relative energy among the computed polymorphs comes out at 0.0 meV per atom. Its total magnetic moment is 2.33 μB per cell.

The structure in POSCAR format:
```
LiInCuMo
1.0
0.000 3.130 3.130
3.130 0.000 3.130
3.130 3.130 0.000
Cu In Li Mo
1 1 1 1
direct
0.750 0.750 0.750
0.000 0.000 0.000
0.250 0.250 0.250
0.500 0.500 0.500
```

No. 4
LiNbInCu: optimized geometry, PBE.

Calculated values
The space-group type is F-43m, No. 216. The total energy is -0.1636 Ha/atom. The relative energy among the computed polymorphs comes out at 0.0 meV per atom. Its total magnetic moment is 0.01 μB per cell.

The structure in POSCAR format:
```
LiNbInCu
1.0
0.000 3.151 3.151
3.151 0.000 3.151
3.151 3.151 0.000
Cu In Li Nb
1 1 1 1
direct
0.750 0.750 0.750
0.000 0.000 0.000
0.250 0.250 0.250
0.500 0.500 0.500
```

No. 5
LiNbInCu: optimized geometry, PBE.

Calculated values
The space-group type is F-43m, No. 216. The total energy is -0.1572 Ha/atom. The relative energy among the computed polymorphs comes out at 173.7 meV per atom. Its total magnetic moment is 1.07 μB per cell.

The structure in POSCAR format:
```
LiNbInCu
1.0
-0.916 1.124 4.305
-4.131 1.521 1.120
-2.780 -2.596 2.483
Cu In Li Nb
1 1 1 1
direct
0.750 0.750 0.750
0.000 0.000 0.000
0.500 0.500 0.500
0.250 0.250 0.250
```

No. 6
LiInCuNi: optimized geometry, PBE.

Calculated values
The space-group type is F-43m, No. 216. The total energy is -0.1334 Ha/atom. The relative energy among the computed polymorphs comes out at 0.0 meV per atom. Its total magnetic moment is 0.00 μB per cell.

The structure in POSCAR format:
```
LiInCuNi
1.0
0.000 3.014 3.014
3.014 0.000 3.014
3.014 3.014 0.000
Cu In Li Ni
1 1 1 1
direct
0.750 0.750 0.750
0.250 0.250 0.250
0.500 0.500 0.500
0.000 0.000 0.000
```